A geometry-optimized TbZn3Rh structure, computed with PBE-GGA.

Computed properties:
**SG**: I-4m2
**Uncorrected energy**: -3.083 eV per atom

a b c (Å): 4.5745 4.5745 11.5110
angles (deg): 101.46 101.46 90.00
Closest atoms and distances in Å follow each position.
Fractional coordinates of all 10 atoms:
Rh 0.9071 0.4071 0.8141  6 Zn 2.61-2.66
Zn 0.6255 0.8744 0.7487  2 Zn 2.28-2.30
Zn 0.1256 0.3745 0.2513  2 Zn 2.28-2.30
Tb 0.2500 0.7500 0.5000  8 Zn 2.98-3.19
Zn 0.1256 0.8768 0.2513  2 Zn 2.28-2.30
Zn 0.1232 0.8744 0.7487  2 Zn 2.28-2.30
Zn 0.3504 0.3504 0.7008  2 Rh 2.61, 4 Zn 2.61
Zn 0.6496 0.6496 0.2992  2 Rh 2.61, 4 Zn 2.61
Tb 0.0000 0.0000 0.0000  4 Zn 3.00, 4 Rh 3.07
Rh 0.5929 0.0929 0.1859  6 Zn 2.61-2.66

A geometry-optimized TbZn6Rh4 structure, computed with PBE-GGA.

Computed properties:
**SG**: I-42m
**Uncorrected energy**: -3.992 eV per atom

a b c (Å): 6.5856 6.5856 6.5856
angles (deg): 88.93 120.62 120.62
Closest atoms and distances in Å follow each position.
Fractional coordinates of all 11 atoms:
Zn 0.5000 0.5000 0.0000  4 Rh 2.50
Zn 0.3670 0.4819 0.4819  4 Rh 2.46-2.64
Zn 0.5000 0.0000 0.5000  4 Rh 2.50
Zn 0.0000 0.5181 0.8851  4 Rh 2.46-2.64
Rh 0.0000 0.2464 0.6035  6 Zn 2.46-2.64, 2 Rh 2.72
Tb 0.0000 0.0000 0.0000  4 Rh 3.05, 8 Zn 3.26-3.28
Zn 0.0000 0.8851 0.5181  4 Rh 2.46-2.64
Rh 0.3572 0.7536 0.7536  6 Zn 2.46-2.64, 2 Rh 2.72
Zn 0.6330 0.1149 0.1149  4 Rh 2.46-2.64
Rh 0.0000 0.6035 0.2464  6 Zn 2.46-2.64, 2 Rh 2.72
Rh 0.6428 0.3965 0.3965  6 Zn 2.46-2.64, 2 Rh 2.72

A geometry-optimized TbZn11Rh structure, computed with PBE-GGA.

Computed properties:
**SG**: C2/m
**Uncorrected energy**: -2.248 eV per atom

a b c (Å): 5.1690 6.8105 6.8620
angles (deg): 81.41 67.87 66.64
Closest atoms and distances in Å follow each position.
Fractional coordinates of all 13 atoms:
Zn 0.4996 0.7842 0.2167  7 Zn 2.58-2.81, 1 Rh 2.61
Zn 0.6309 0.3550 0.3477  8 Zn 2.66-2.92, 1 Rh 2.67
Zn 0.9786 0.3550 0.6523  8 Zn 2.66-2.92, 1 Rh 2.67
Tb 0.0000 0.0000 0.0000  18 Zn 3.13-3.43, 2 Rh 3.36
Zn 0.7163 0.7842 0.7833  7 Zn 2.58-2.81, 1 Rh 2.61
Zn 0.0000 0.0000 0.5000  10 Zn 2.58-2.77
Rh 0.5000 0.5000 0.0000  10 Zn 2.58-2.67
Zn 0.2837 0.2158 0.2167  7 Zn 2.58-2.81, 1 Rh 2.61
Zn 0.0000 0.5000 0.0000  8 Zn 2.58-2.77, 2 Rh 2.58
Zn 0.0214 0.6450 0.3477  8 Zn 2.66-2.92, 1 Rh 2.67
Zn 0.3691 0.6450 0.6523  8 Zn 2.66-2.92, 1 Rh 2.67
Zn 0.5004 0.2158 0.7833  7 Zn 2.58-2.81, 1 Rh 2.61
Zn 0.5000 0.0000 0.5000  10 Zn 2.58-2.77

A geometry-optimized TbZr3Rh6 structure, computed with PBE-GGA.

Computed properties:
**SG**: P2_1/m
**Uncorrected energy**: -8.201 eV per atom

a b c (Å): 4.3664 8.4875 9.6185
angles (deg): 97.31 90.00 90.00
Closest atoms and distances in Å follow each position.
Fractional coordinates of all 20 atoms:
Rh 0.7500 0.3880 0.3146  5 Zr 2.69-2.80, 1 Tb 2.92, 2 Rh 3.01
Rh 0.7500 0.8396 0.7918  8 Rh 2.79-3.05, 2 Zr 2.80, 2 Tb 2.90
Rh 0.2500 0.8329 0.2671  3 Zr 2.70-2.74, 3 Rh 2.91-3.03, 2 Tb 3.00
Zr 0.2500 0.3389 0.8217  7 Rh 2.62-2.80
Zr 0.2500 0.7579 0.9504  8 Rh 2.65-2.90
Tb 0.7500 0.0587 0.3738  9 Rh 2.88-3.11
Zr 0.2500 0.5634 0.3972  8 Rh 2.70-2.87
Zr 0.7500 0.2421 0.0496  8 Rh 2.65-2.90
Rh 0.7500 0.1671 0.7329  3 Zr 2.70-2.74, 3 Rh 2.91-3.03, 2 Tb 3.00
Zr 0.7500 0.6611 0.1783  7 Rh 2.62-2.80
Rh 0.7500 0.5331 0.8955  7 Zr 2.77-3.04, 5 Rh 2.90-3.11
Tb 0.2500 0.9413 0.6262  9 Rh 2.88-3.11
Rh 0.2500 0.0643 0.9198  4 Zr 2.62-2.85, 1 Rh 2.79, 1 Tb 2.88
Rh 0.2500 0.4669 0.1045  7 Zr 2.77-3.04, 5 Rh 2.90-3.11
Rh 0.2500 0.1604 0.2082  8 Rh 2.79-3.05, 2 Zr 2.80, 2 Tb 2.90
Rh 0.2500 0.2668 0.5106  4 Zr 2.70-2.98, 1 Rh 2.93, 2 Tb 3.00
Rh 0.2500 0.6120 0.6854  5 Zr 2.69-2.80, 1 Tb 2.92, 2 Rh 3.01
Zr 0.7500 0.4366 0.6028  8 Rh 2.70-2.87
Rh 0.7500 0.9357 0.0802  4 Zr 2.62-2.85, 1 Rh 2.79, 1 Tb 2.88
Rh 0.7500 0.7332 0.4894  4 Zr 2.70-2.98, 1 Rh 2.93, 2 Tb 3.00

A geometry-optimized Tb2ZrRh structure, computed with PBE-GGA.

Computed properties:
**ΔE to the lowest computed polymorph**: 0 meV/atom
**SG**: P4/mmm

a b c (Å): 3.4809 3.4809 7.8765
angles (deg): 90.00 90.00 90.00
Closest atoms and distances in Å follow each position.
Fractional coordinates of all 4 atoms:
Tb 0.0000 0.0000 0.7892  4 Rh 2.97, 1 Tb 3.32
Tb 0.0000 0.0000 0.2108  4 Rh 2.97, 1 Tb 3.32
Rh 0.5000 0.5000 0.0000  8 Tb 2.97
Zr 0.5000 0.5000 0.5000  8 Tb 3.35, 4 Zr 3.48

A geometry-optimized TbZrRh structure, computed with PBE-GGA.

Computed properties:
**ΔE to the lowest computed polymorph**: 123 meV/atom
**SG**: I4mm

a b c (Å): 3.4194 3.4194 6.1409
angles (deg): 106.17 106.17 90.00
Closest atoms and distances in Å follow each position.
Fractional coordinates of all 3 atoms:
Zr 0.3044 0.3044 0.6088  4 Rh 2.79
Rh 0.6815 0.6815 0.3630  4 Zr 2.79, 4 Tb 3.07
Tb 0.0141 0.0141 0.0283  4 Rh 3.07, 5 Zr 3.28-3.38, 4 Tb 3.42

A geometry-optimized TbZrRh structure, computed with PBE-GGA.

Computed properties:
**ΔE to the lowest computed polymorph**: 0 meV/atom
**SG**: Amm2

a b c (Å): 7.0321 8.4720 8.4720
angles (deg): 67.68 65.48 65.48
Closest atoms and distances in Å follow each position.
Fractional coordinates of all 18 atoms:
Tb 0.7536 0.9557 0.4557  5 Rh 2.90-3.18
Rh 0.0871 0.6664 0.6663  3 Zr 2.65-2.66
Zr 0.0099 0.0000 0.0000  2 Rh 2.65
Zr 0.4969 0.6284 0.6284  4 Rh 2.66-2.97
Zr 0.7537 0.3716 0.3716  4 Rh 2.66-2.97
Tb 0.7536 0.4556 0.9556  5 Rh 2.90-3.18
Rh 0.4198 0.8337 0.8336  3 Zr 2.65-2.66
Rh 0.7517 0.7500 0.2500  3 Tb 2.88-2.90, 6 Zr 2.97-2.98
Tb 0.3422 0.7500 0.2500  5 Rh 2.88-3.17
Zr 0.4969 0.1284 0.1284  4 Rh 2.66-2.97
Zr 0.0099 0.5000 0.5000  2 Rh 2.65
Rh 0.4198 0.3336 0.3337  3 Zr 2.65-2.66
Tb 0.3422 0.2500 0.7500  5 Rh 2.88-3.17
Rh 0.7518 0.2500 0.7500  3 Tb 2.88-2.90, 6 Zr 2.97-2.98
Tb 0.1649 0.0443 0.5443  5 Rh 2.90-3.18
Tb 0.1648 0.5444 0.0444  5 Rh 2.90-3.18
Rh 0.0871 0.1663 0.1664  3 Zr 2.65-2.66
Zr 0.7537 0.8716 0.8716  4 Rh 2.66-2.97

A geometry-optimized Tb4ZrRh3 structure, computed with PBE-GGA.

Computed properties:
**SG**: I4/mcm
**Uncorrected energy**: -6.813 eV per atom

a b c (Å): 6.0035 8.3075 8.3075
angles (deg): 82.50 68.82 68.82
Closest atoms and distances in Å follow each position.
Fractional coordinates of all 16 atoms:
Tb 0.7132 0.8688 0.7048  4 Rh 2.92-2.99, 1 Tb 3.17
Rh 0.1517 0.5000 0.1966  2 Zr 2.79, 4 Tb 2.96-2.99
Tb 0.4180 0.2952 0.8688  4 Rh 2.92-2.99, 1 Tb 3.17
Tb 0.2868 0.1312 0.2952  4 Rh 2.92-2.99, 1 Tb 3.17
Rh 0.3483 0.8034 0.5000  2 Zr 2.79, 4 Tb 2.96-2.99
Tb 0.0820 0.1312 0.7048  4 Rh 2.92-2.99, 1 Tb 3.17
Rh 0.2500 0.0000 0.0000  8 Tb 2.92, 2 Rh 3.00
Tb 0.9180 0.8688 0.2952  4 Rh 2.92-2.99, 1 Tb 3.17
Rh 0.8483 0.5000 0.8034  2 Zr 2.79, 4 Tb 2.96-2.99
Rh 0.6517 0.1966 0.5000  2 Zr 2.79, 4 Tb 2.96-2.99
Tb 0.5820 0.7048 0.1312  4 Rh 2.92-2.99, 1 Tb 3.17
Rh 0.7500 0.0000 0.0000  8 Tb 2.92, 2 Rh 3.00
Tb 0.7868 0.2952 0.1312  4 Rh 2.92-2.99, 1 Tb 3.17
Tb 0.2132 0.7048 0.8688  4 Rh 2.92-2.99, 1 Tb 3.17
Zr 0.7500 0.5000 0.5000  4 Rh 2.79, 2 Zr 3.00
Zr 0.2500 0.5000 0.5000  4 Rh 2.79, 2 Zr 3.00

no.,total magnetic moment (μB/f.u.),density of states at the Fermi level (states/eV/f.u.)
1,0.000,2.39
2,0.000,8.53
3,0.000,5.28
4,0.000,5.32
5,0.000,5.30
6,0.672,3.96
7,0.000,3.37
8,0.000,7.12